[1]
First-principles (meta-GGA SCAN) data for Li2V5P4O16 at its PBEsol-relaxed geometry, as listed in the Alexandria database.

energy relative to the elements, uncorrected	-2.45	eV per atom
total moment	15.000	μB per formula unit

POSCAR file:
```
Li2V5P4O16
1.0
5.1690 0.0000 0.0000
-1.4527 7.7446 0.0000
-0.3879 -2.8109 7.4899
Li V P O
2 5 4 16
direct
0.1216 0.0540 0.3115 Li
0.8784 0.9460 0.6885 Li
0.1452 0.4103 0.6807 V
0.4117 0.7465 0.2210 V
0.5000 0.0000 0.0000 V
0.5883 0.2535 0.7790 V
0.8548 0.5897 0.3193 V
0.1062 0.2909 0.0431 P
0.3506 0.7947 0.5664 P
0.6494 0.2053 0.4336 P
0.8938 0.7091 0.9569 P
0.1537 0.4913 0.1790 O
0.1593 0.8264 0.4233 O
0.1984 0.7832 0.0138 O
0.2162 0.6336 0.6140 O
0.2247 0.1643 0.1199 O
0.2352 0.2973 0.8726 O
0.3914 0.2331 0.5226 O
0.4080 0.9750 0.7321 O
0.5920 0.0250 0.2679 O
0.6086 0.7669 0.4774 O
0.7648 0.7027 0.1274 O
0.7753 0.8357 0.8801 O
0.7838 0.3664 0.3860 O
0.8016 0.2168 0.9862 O
0.8407 0.1736 0.5767 O
0.8463 0.5087 0.8210 O
```

[2]
First-principles (meta-GGA SCAN) data for MnB2I2 at its PBEsol-relaxed geometry, as listed in the Alexandria database.

energy relative to the elements, uncorrected	1.61	eV per atom
total moment	3.711	μB per formula unit

POSCAR file:
```
MnB2I2
1.0
7.4645 0.0000 0.0000
0.0000 7.4645 0.0000
0.0000 0.0000 3.3538
Mn B I
2 4 4
direct
0.0000 0.0000 0.0000 Mn
0.5000 0.5000 0.0000 Mn
0.1914 0.3086 0.5000 B
0.3086 0.8086 0.5000 B
0.6914 0.1914 0.5000 B
0.8086 0.6914 0.5000 B
0.1597 0.6597 0.0000 I
0.3403 0.1597 0.0000 I
0.6597 0.8403 0.0000 I
0.8403 0.3403 0.0000 I
```

[3]
First-principles (meta-GGA SCAN) data for Cs3BeOs at its PBEsol-relaxed geometry, as listed in the Alexandria database.

energy relative to the elements	1637	meV per atom
total moment	0.304	μB per formula unit

POSCAR file:
```
Cs3BeOs
1.0
5.9155 0.0000 0.0000
0.0000 5.9155 0.0000
0.0000 0.0000 5.9155
Cs Be Os
3 1 1
direct
0.0000 0.0000 0.5000 Cs
0.0000 0.5000 0.0000 Cs
0.5000 0.0000 0.0000 Cs
0.5000 0.5000 0.5000 Be
0.0000 0.0000 0.0000 Os
```

[4]
First-principles (meta-GGA SCAN) data for KCaPb2 at its PBEsol-relaxed geometry, as listed in the Alexandria database.

energy relative to the elements	-432	meV per atom
total moment	0.000	μB per formula unit

POSCAR file:
```
KCaPb2
1.0
3.8548 0.0000 0.0000
0.0000 5.5073 0.0000
0.0000 0.0000 5.8867
K Ca Pb
1 1 2
direct
0.0000 0.0000 0.0000 K
0.0000 0.5000 0.5912 Ca
0.5000 0.0000 0.4927 Pb
0.5000 0.5000 0.1278 Pb
```

[5]
First-principles (meta-GGA SCAN) data for ErCrB4 at its PBEsol-relaxed geometry, as listed in the Alexandria database.

energy relative to the elements	-735	meV per atom
total moment	0.000	μB per formula unit

POSCAR file:
```
ErCrB4
1.0
5.8648 0.0000 0.0000
0.0000 11.3323 0.0000
0.0000 0.0000 3.3708
Er Cr B
4 4 16
direct
0.1249 0.1506 0.0000 Er
0.3751 0.6506 0.0000 Er
0.6249 0.3494 0.0000 Er
0.8751 0.8494 0.0000 Er
0.1224 0.4204 0.0000 Cr
0.3776 0.9204 0.0000 Cr
0.6224 0.0796 0.0000 Cr
0.8776 0.5796 0.0000 Cr
0.0249 0.6923 0.5000 B
0.1136 0.5470 0.5000 B
0.1363 0.9673 0.5000 B
0.2188 0.8156 0.5000 B
0.2812 0.3156 0.5000 B
0.3637 0.4673 0.5000 B
0.3864 0.0470 0.5000 B
0.4751 0.1923 0.5000 B
0.5249 0.8077 0.5000 B
0.6136 0.9530 0.5000 B
0.6363 0.5327 0.5000 B
0.7188 0.6844 0.5000 B
0.7812 0.1844 0.5000 B
0.8637 0.0327 0.5000 B
0.8864 0.4530 0.5000 B
0.9751 0.3077 0.5000 B
```

[6]
First-principles (meta-GGA SCAN) data for CdP2Au at its PBEsol-relaxed geometry, as listed in the Alexandria database.

energy relative to the elements	320	meV per atom
total moment	0.000	μB per formula unit

POSCAR file:
```
CdP2Au
1.0
3.7024 0.0000 0.0000
0.0000 3.7024 0.0000
0.0000 0.0000 5.3668
Cd P Au
1 2 1
direct
0.0000 0.0000 0.0000 Cd
0.5000 0.5000 0.3016 P
0.5000 0.5000 0.6984 P
0.0000 0.0000 0.5000 Au
```

[7]
First-principles (meta-GGA SCAN) data for Te3Pt at its PBEsol-relaxed geometry, as listed in the Alexandria database.

energy relative to the elements, uncorrected	-0.06	eV per atom
total moment	0.000	μB per formula unit

POSCAR file:
```
Te3Pt
1.0
-1.8581 2.4480 5.6705
1.8581 -2.4480 5.6705
1.8581 2.4480 -5.6705
Te Pt
3 1
direct
0.0000 0.0000 0.0000 Te
0.3289 0.8289 0.5000 Te
0.6711 0.1711 0.5000 Te
0.5000 0.5000 0.0000 Pt
```

[8]
First-principles (meta-GGA SCAN) data for Hf2TiSb at its PBEsol-relaxed geometry, as listed in the Alexandria database.

energy relative to the elements, uncorrected	0.24	eV per atom
total moment	0.000	μB per formula unit

POSCAR file:
```
Hf2TiSb
1.0
-3.8897 3.8897 2.8415
3.8897 -3.8897 2.8415
3.8897 3.8897 -2.8415
Hf Ti Sb
4 2 2
direct
0.1226 0.1250 0.4976 Hf
0.3750 0.8774 0.0024 Hf
0.6274 0.6250 0.5024 Hf
0.8750 0.3726 0.9976 Hf
0.2500 0.7500 0.5000 Ti
0.5000 0.5000 0.0000 Ti
0.0000 0.0000 0.0000 Sb
0.7500 0.2500 0.5000 Sb
```

Look up the total moment of the first one. 15.000 μB per formula unit